Here is a relaxed Si2NiH crystal from Alexandria. Energies are from PBEsol.

Calculated values
* total DFT energy (no corrections): -5.15 eV per atom
* total magnetization: 0.0000 μB per atom
* V: 40 Å³ per cell
* crystal system: cubic
* Fermi-level density of states: 0.451 states/eV/atom

The structure in CIF format:
```
data_Si2NiH
_chemical_formula_sum 'Si2 Ni1 H1'
_cell_length_a 3.8414
_cell_length_b 3.8414
_cell_length_c 3.8414
_cell_angle_alpha 60.00
_cell_angle_beta 60.00
_cell_angle_gamma 60.00
_space_group_name_H-M_alt 'P 1'
_space_group_IT_number 1
_space_group_name_Hall 'P 1'
loop_
_atom_site_label
_atom_site_type_symbol
_atom_site_fract_x
_atom_site_fract_y
_atom_site_fract_z
_atom_site_occupancy
Si1 Si 0.2500 0.2500 0.2500 1
Si2 Si 0.7500 0.7500 0.7500 1
Ni1 Ni 0.0000 0.0000 0.0000 1
H1 H 0.5000 0.5000 0.5000 1
```